{
  "formula": "Sc2NiOs",
  "functional": "PBE",
  "state": "optimized geometry",
  "vol_a3_per_atom": 17.3,
  "total_magnetization_mub_per_fu": 0.00,
  "e_above_lowest_polymorph_mev_per_atom": 422,
  "total_energy_ev_per_atom": -7.50,
  "lattice_angstrom": [[3.499, 0.000, 0.000], [0.000, 3.499, 0.000], [0.000, 0.000, 5.639]],
  "species": ["Sc", "Sc", "Ni", "Os"],
  "frac_coords": [[0.000, 0.000, 0.000], [0.500, 0.500, 0.350], [0.000, 0.000, 0.523], [0.500, 0.500, 0.820]]
}

---

{
  "formula": "Sc2NiOs",
  "functional": "PBE",
  "state": "optimized geometry",
  "vol_a3_per_atom": 17.2,
  "total_magnetization_mub_per_fu": 0.00,
  "e_above_lowest_polymorph_mev_per_atom": 367,
  "total_energy_ev_per_atom": -7.55,
  "lattice_angstrom": [[3.013, 0.000, 0.000], [0.000, 4.206, 0.000], [0.000, 0.000, 5.416]],
  "species": ["Sc", "Sc", "Ni", "Os"],
  "frac_coords": [[0.000, 0.000, 0.000], [0.500, 0.500, 0.357], [0.000, 0.000, 0.520], [0.500, 0.500, 0.850]]
}

---

{
  "formula": "Sc4Ni3Os",
  "functional": "PBE",
  "state": "optimized geometry",
  "vol_a3_per_atom": 16.2,
  "total_magnetization_mub_per_fu": 0.00,
  "total_energy_ev_per_atom": -7.24,
  "lattice_angstrom": [[3.178, 0.000, 0.000], [0.000, 3.178, 0.000], [0.000, 0.000, 12.805]],
  "species": ["Sc", "Sc", "Sc", "Sc", "Ni", "Ni", "Ni", "Os"],
  "frac_coords": [[0.000, 0.000, 0.124], [0.000, 0.000, 0.376], [0.000, 0.000, 0.624], [0.000, 0.000, 0.876], [0.500, 0.500, 0.000], [0.500, 0.500, 0.246], [0.500, 0.500, 0.754], [0.500, 0.500, 0.500]]
}

---

{
  "formula": "ScTaNiOs",
  "functional": "PBE",
  "state": "optimized geometry",
  "vol_a3_per_atom": 15.9,
  "total_magnetization_mub_per_fu": 0.00,
  "total_energy_ev_per_atom": -9.19,
  "lattice_angstrom": [[0.000, 3.165, 3.165], [3.165, 0.000, 3.165], [3.165, 3.165, 0.000]],
  "species": ["Sc", "Ta", "Ni", "Os"],
  "frac_coords": [[0.000, 0.000, 0.000], [0.500, 0.500, 0.500], [0.750, 0.750, 0.750], [0.250, 0.250, 0.250]]
}

---

| no. | energy of formation from the pure elements (meV/atom) |
| --- | --- |
| 1 | -80 |
| 2 | -135 |
| 3 | -504 |
| 4 | -387 |